(a)
Material: Rb2BaSc
Method: DFT, PBE
State: optimized geometry

- Crystal system: tetragonal

CIF file:
```
data_Rb2BaSc
_chemical_formula_sum 'Rb8 Ba4 Sc4'
_space_group_name_H-M_alt 'I -4 2 d'
_space_group_IT_number 122
_space_group_name_Hall 'I -4 2bw'
_cell_length_a 5.431
_cell_length_b 5.431
_cell_length_c 30.765
_cell_angle_alpha 90.00
_cell_angle_beta 90.00
_cell_angle_gamma 90.00
loop_
_atom_site_label
_atom_site_fract_x
_atom_site_fract_y
_atom_site_fract_z
Rb1 0.239 0.250 0.125
Ba1 0.000 0.000 0.500
Sc1 0.000 0.000 0.000
```

(b)
Material: Rb2BaSc
Method: DFT, PBE
State: optimized geometry

- Crystal system: cubic

CIF file:
```
data_Rb2BaSc
_chemical_formula_sum 'Rb8 Ba4 Sc4'
_space_group_name_H-M_alt 'F m -3 m'
_space_group_IT_number 225
_space_group_name_Hall '-F 4 2 3'
_cell_length_a 9.655
_cell_length_b 9.655
_cell_length_c 9.655
_cell_angle_alpha 90.00
_cell_angle_beta 90.00
_cell_angle_gamma 90.00
loop_
_atom_site_label
_atom_site_fract_x
_atom_site_fract_y
_atom_site_fract_z
Rb1 0.250 0.250 0.250
Ba1 0.000 0.000 0.000
Sc1 0.000 0.000 0.500
```

Most favorable structure: (a). The second most favorable one is 13 meV per atom above it.